# PBE-GGA RbBeSi, optimized geometry
data_RbBeSi
_chemical_formula_sum 'Rb2 Be2 Si2'
_space_group_name_H-M_alt 'P 1'
_space_group_IT_number 1
_cell_length_a 4.282
_cell_length_b 4.285
_cell_length_c 11.250
_cell_angle_alpha 86.18
_cell_angle_beta 85.10
_cell_angle_gamma 61.09
loop_
_space_group_symop_operation_xyz
'x,y,z'
loop_
_atom_site_label
_atom_site_type_symbol
_atom_site_fract_x
_atom_site_fract_y
_atom_site_fract_z
Rb1 Rb 0.000 0.000 0.000
Rb2 Rb 0.389 0.445 0.603
Be1 Be 0.081 0.608 0.301
Be2 Be 0.581 0.108 0.302
Si1 Si 0.069 0.102 0.372
Si2 Si 0.594 0.614 0.231
# energy relative to the lowest polymorph listed for this composition: 46 meV/atom
# N(E_F): 1.4 states/eV/f.u.